1.
Here is an optimized crystal structure of HfCr6 from Alexandria via LeMat-Bulk. Energies are from PBE.

CIF file:
```
data_HfCr6
_chemical_formula_sum 'Hf4 Cr24'
_space_group_name_H-M_alt 'P 1'
_space_group_IT_number 1
_cell_length_a 7.910
_cell_length_b 4.813
_cell_length_c 9.830
_cell_angle_alpha 90.00
_cell_angle_beta 90.00
_cell_angle_gamma 90.00
loop_
_space_group_symop_operation_xyz
'x,y,z'
loop_
_atom_site_label
_atom_site_type_symbol
_atom_site_fract_x
_atom_site_fract_y
_atom_site_fract_z
Hf1 Hf 0.244 0.250 0.064
Hf2 Hf 0.256 0.750 0.564
Hf3 Hf 0.744 0.250 0.436
Hf4 Hf 0.756 0.750 0.936
Cr1 Cr 0.054 0.750 0.085
Cr2 Cr 0.068 0.007 0.305
Cr3 Cr 0.068 0.493 0.305
Cr4 Cr 0.094 0.250 0.515
Cr5 Cr 0.137 0.750 0.867
Cr6 Cr 0.191 0.250 0.750
Cr7 Cr 0.309 0.750 0.250
Cr8 Cr 0.363 0.250 0.367
Cr9 Cr 0.406 0.750 0.015
Cr10 Cr 0.432 0.507 0.805
Cr11 Cr 0.432 0.993 0.805
Cr12 Cr 0.446 0.250 0.585
Cr13 Cr 0.554 0.750 0.415
Cr14 Cr 0.568 0.007 0.195
Cr15 Cr 0.568 0.493 0.195
Cr16 Cr 0.594 0.250 0.985
Cr17 Cr 0.637 0.750 0.633
Cr18 Cr 0.691 0.250 0.750
Cr19 Cr 0.809 0.750 0.250
Cr20 Cr 0.863 0.250 0.133
Cr21 Cr 0.906 0.750 0.485
Cr22 Cr 0.932 0.507 0.695
Cr23 Cr 0.932 0.993 0.695
Cr24 Cr 0.946 0.250 0.915
```

VASP energy = -9.53 eV per atom
Total magnetization = 0.0 μB/f.u.
Space group = Pnma, No. 62
Distance to the lowest polymorph of the same formula = 0.0 kJ/mol of atoms

---

2.
Here is an optimized crystal structure of ZrBe2NbBr from Alexandria via LeMat-Bulk. Energies are from PBE.

CIF file:
```
data_ZrBe2NbBr
_chemical_formula_sum 'Zr1 Be2 Nb1 Br1'
_space_group_name_H-M_alt 'P 1'
_space_group_IT_number 1
_cell_length_a 4.690
_cell_length_b 4.690
_cell_length_c 5.091
_cell_angle_alpha 90.00
_cell_angle_beta 90.00
_cell_angle_gamma 90.00
loop_
_space_group_symop_operation_xyz
'x,y,z'
loop_
_atom_site_label
_atom_site_type_symbol
_atom_site_fract_x
_atom_site_fract_y
_atom_site_fract_z
Zr1 Zr 0.000 0.000 0.000
Be1 Be 0.000 0.500 0.500
Be2 Be 0.500 0.000 0.500
Nb1 Nb 0.000 0.000 0.500
Br1 Br 0.500 0.500 0.000
```

Formation energy without anion corrections = 5.78 eV/f.u.
VASP energy = -4.39 eV per atom
Total magnetization = 0.8 μB/f.u.
Space group = P4/mmm, No. 123